Here is a relaxed K3InTe3 crystal from Alexandria. Energies are from PBE.

a = 8.864 Å, b = 8.864 Å, c = 8.509 Å
α = 95.31°, β = 95.31°, γ = 113.67°
Fractional positions:
1 K 0.173 0.827 0.000
2 K 0.233 0.767 0.500
3 K 0.399 0.399 0.144
4 K 0.601 0.601 0.856
5 K 0.767 0.233 0.500
6 K 0.827 0.173 0.000
7 In 0.182 0.182 0.648
8 In 0.818 0.818 0.352
9 Te 0.107 0.107 0.306
10 Te 0.152 0.464 0.781
11 Te 0.464 0.152 0.781
12 Te 0.536 0.848 0.219
13 Te 0.848 0.536 0.219
14 Te 0.893 0.893 0.694

Values from the calculation:
Symmetry ... No. 12
Volume ... 43.10 A^3/atom
Formation energy without anion corrections ... -872.0 meV/atom
Crystal system ... monoclinic